No. 1
Below is a relaxed BeCu2Re crystal, with properties calculated at the PBE level.

Symmetry = F-43m
VASP energy = -21.91 eV per cell

Lattice parameters (Å, degrees): 4.037 4.037 4.037 60.00 60.00 60.00
Element x y z (fractional)
Be1 0.500 0.500 0.500
Cu1 0.750 0.750 0.750
Cu2 0.000 0.000 0.000
Re1 0.250 0.250 0.250

No. 2
Below is a relaxed BeCuRe crystal, with properties calculated at the PBE level.

Polymorph energy (0 for the lowest one) = 50.1 kJ per mole of atoms
Symmetry = F-43m

Lattice parameters (Å, degrees): 3.942 3.942 3.942 60.00 60.00 60.00
Element x y z (fractional)
Re1 0.000 0.000 0.000
Cu1 0.750 0.750 0.750
Be1 0.250 0.250 0.250

No. 3
Below is a relaxed BeCuReSi crystal, with properties calculated at the PBE level.

Polymorph energy (0 for the lowest one) = 0.0 kJ per mole of atoms
Symmetry = F-43m

Lattice parameters (Å, degrees): 4.057 4.057 4.057 60.00 60.00 60.00
Element x y z (fractional)
Re1 0.250 0.250 0.250
Si1 0.000 0.000 0.000
Be1 0.500 0.500 0.500
Cu1 0.750 0.750 0.750

No. 4
Below is a relaxed BeCuReSi crystal, with properties calculated at the PBE level.

Polymorph energy (0 for the lowest one) = 40.9 kJ per mole of atoms
Symmetry = F-43m

Lattice parameters (Å, degrees): 4.078 4.078 4.078 60.00 60.00 60.00
Element x y z (fractional)
Re1 0.500 0.500 0.500
Be1 0.250 0.250 0.250
Si1 0.000 0.000 0.000
Cu1 0.750 0.750 0.750

Which formula does entry 2 have?
BeCuRe